No. 1
Compound: GaSiO2F
Source: the Alexandria database
Functional: PBE
Structure: relaxed

a = 3.8765 Å, b = 3.8765 Å, c = 3.8280 Å
α = 90.00°, β = 90.00°, γ = 90.00°
With the nearest neighbours (Å) after each atom.
Sites, in units of the cell vectors:
O1 0.5000 0.0000 0.0000  2 Ga 1.94
O2 0.0000 0.5000 0.0000  2 Ga 1.94
Si1 0.5000 0.5000 0.5000  8 O 2.72, 4 F 2.74
Ga1 0.0000 0.0000 0.0000  2 F 1.91, 4 O 1.94
F1 0.0000 0.0000 0.5000  2 Ga 1.91

formation energy from raw total energies	-1.13	eV per atom
density	4.3	Mg/m³
symmetry	P4/mmm, No. 123

***

No. 2
Compound: HfMn4Rh
Source: the Alexandria database
Functional: PBE
Structure: relaxed

a = 4.7875 Å, b = 4.7875 Å, c = 4.7875 Å
α = 60.00°, β = 60.00°, γ = 60.00°
With the nearest neighbours (Å) after each atom.
Sites, in units of the cell vectors:
Hf1 0.0000 0.0000 0.0000  12 Mn 2.81, 4 Rh 2.93
Rh1 0.2500 0.2500 0.2500  12 Mn 2.81, 4 Hf 2.93
Mn1 0.6249 0.6249 0.1252  6 Mn 2.39-2.40
Mn2 0.6249 0.1252 0.6249  6 Mn 2.39-2.40
Mn3 0.6249 0.6249 0.6249  6 Mn 2.39-2.40
Mn4 0.1252 0.6249 0.6249  6 Mn 2.39-2.40

energy relative to the elements	-121	meV/atom
density	10.7	Mg/m³
Fermi-level density of states	8.4	states/eV per cell
symmetry	F-43m, No. 216

***

No. 3
Compound: Ce2PmZn9
Source: the Alexandria database
Functional: PBE
Structure: relaxed

a = 5.4196 Å, b = 5.4196 Å, c = 9.3717 Å
α = 73.19°, β = 73.19°, γ = 60.00°
With the nearest neighbours (Å) after each atom.
Sites, in units of the cell vectors:
Zn1 0.0770 0.5831 0.7567  7 Zn 2.63-2.77
Zn2 0.4169 0.4169 0.2433  7 Zn 2.63-2.77
Zn3 0.5831 0.5831 0.7567  7 Zn 2.63-2.77
Zn4 0.9230 0.4169 0.2433  7 Zn 2.63-2.77
Zn5 0.6646 0.6646 0.0063  6 Zn 2.63-2.69
Zn6 0.5000 0.5000 0.5000  6 Zn 2.77
Zn7 0.4169 0.9230 0.2433  7 Zn 2.63-2.77
Zn8 0.3354 0.3354 0.9937  6 Zn 2.63-2.69
Zn9 0.5831 0.0770 0.7567  7 Zn 2.63-2.77
Ce1 0.8522 0.8522 0.4433  12 Zn 3.17-3.24, 3 Ce 3.29
Ce2 0.1478 0.1478 0.5567  12 Zn 3.17-3.24, 3 Ce 3.29
Pm1 0.0000 0.0000 0.0000  18 Zn 3.13-3.46

energy relative to the elements	-273	meV/atom
density	7.5	Mg/m³
Fermi-level density of states	13.1	states/eV per cell
symmetry	R-3m, No. 166

***

No. 4
Compound: Tl2MoAu
Source: the Alexandria database
Functional: PBE
Structure: relaxed

a = 6.7464 Å, b = 6.7464 Å, c = 6.7464 Å
α = 154.03°, β = 137.40°, γ = 50.57°
With the nearest neighbours (Å) after each atom.
Sites, in units of the cell vectors:
Au1 0.4470 0.4470 0.0000  2 Mo 2.80, 2 Au 3.03, 4 Tl 3.11
Mo1 0.2538 0.7538 0.5000  2 Au 2.80, 6 Tl 2.88-2.98, 2 Mo 3.03
Tl1 0.7558 0.2558 0.5000  4 Mo 2.88, 2 Tl 3.03
Tl2 0.0434 0.0434 0.0000  2 Mo 2.98, 2 Tl 3.03, 4 Au 3.11

energy relative to the elements	519	meV/atom
density	12.9	Mg/m³
energy above the most stable polymorph in this dataset	77	meV per atom
Fermi-level density of states	2.2	states/eV per cell
symmetry	Imm2, No. 44

***

No. 5
Compound: Ba4La3DyTe8
Source: the Alexandria database
Functional: PBE
Structure: relaxed

a = 9.3862 Å, b = 9.5819 Å, c = 9.3865 Å
α = 119.33°, β = 120.00°, γ = 90.00°
With the nearest neighbours (Å) after each atom.
Sites, in units of the cell vectors:
La1 0.5000 0.5000 0.0000  6 Te 3.26
La2 0.5000 0.5000 0.5000  6 Te 3.26
La3 0.0000 0.5000 0.5000  6 Te 3.26
Te1 0.7429 0.7288 0.4859  3 La 3.26, 3 Ba 3.45
Te2 0.2366 0.7231 0.9865  1 Dy 3.17, 2 La 3.26, 3 Ba 3.46-3.54
Te3 0.7499 0.7231 0.9865  1 Dy 3.17, 2 La 3.26, 3 Ba 3.46-3.54
Te4 0.2366 0.7231 0.4733  1 Dy 3.17, 2 La 3.26, 3 Ba 3.46-3.54
Te5 0.2571 0.2712 0.5141  3 La 3.26, 3 Ba 3.45
Te6 0.7634 0.2769 0.0135  1 Dy 3.17, 2 La 3.26, 3 Ba 3.46-3.54
Te7 0.2501 0.2769 0.0135  1 Dy 3.17, 2 La 3.26, 3 Ba 3.46-3.54
Te8 0.7634 0.2769 0.5267  1 Dy 3.17, 2 La 3.26, 3 Ba 3.46-3.54
Ba1 0.5000 0.0000 0.0000  6 Te 3.54
Ba2 0.0000 0.0000 0.5000  6 Te 3.45-3.46
Ba3 0.0000 0.0000 0.0000  6 Te 3.45-3.46
Ba4 0.5000 0.0000 0.5000  6 Te 3.45-3.46
Dy1 0.0000 0.5000 0.0000  6 Te 3.17

formation energy from raw total energies	-1.62	eV per atom
density	5.9	Mg/m³
Fermi-level density of states	7.4	states/eV per cell
symmetry	R-3m, No. 166

***

No. 6
Compound: DyCo7C2
Source: the Alexandria database
Functional: PBE
Structure: relaxed

a = 3.9023 Å, b = 5.9454 Å, c = 5.9454 Å
α = 118.43°, β = 90.00°, γ = 90.00°
With the nearest neighbours (Å) after each atom.
Sites, in units of the cell vectors:
Co1 0.5000 0.9489 0.6609  2 C 1.93-2.02
Co2 0.0000 0.2948 0.7052  2 C 1.95
Co3 0.5000 0.5000 0.5000  2 C 2.00
Co4 0.5000 0.3391 0.0511  2 C 1.93-2.02
Co5 0.5000 0.0511 0.3391  2 C 1.93-2.02
Co6 0.0000 0.7052 0.2948  2 C 1.95
Co7 0.5000 0.6609 0.9489  2 C 1.93-2.02
C1 0.5000 0.3043 0.6957  7 Co 1.93-2.02
C2 0.5000 0.6957 0.3043  7 Co 1.93-2.02
Dy1 0.0000 0.0000 0.0000  10 Co 2.72-3.01

energy relative to the elements	233	meV/atom
density	8.2	Mg/m³
Fermi-level density of states	11.3	states/eV per cell
symmetry	Cmmm, No. 65

***

No. 7
Compound: Li2Zr2ScSe6
Source: the Alexandria database
Functional: PBE
Structure: relaxed

a = 6.5950 Å, b = 6.5950 Å, c = 6.9210 Å
α = 99.16°, β = 99.16°, γ = 120.07°
With the nearest neighbours (Å) after each atom.
Sites, in units of the cell vectors:
Se1 0.2503 0.2503 0.2543  1 Sc 2.72, 2 Zr 2.72, 2 Li 2.77
Se2 0.9175 0.5846 0.2543  2 Zr 2.72-2.73, 1 Sc 2.72, 2 Li 2.75-2.76
Se3 0.4154 0.0825 0.7457  2 Zr 2.72-2.73, 1 Sc 2.72, 2 Li 2.75-2.76
Se4 0.5846 0.9175 0.2543  2 Zr 2.72-2.73, 1 Sc 2.72, 2 Li 2.75-2.76
Se5 0.0825 0.4154 0.7457  2 Zr 2.72-2.73, 1 Sc 2.72, 2 Li 2.75-2.76
Se6 0.7497 0.7497 0.7457  1 Sc 2.72, 2 Zr 2.72, 2 Li 2.77
Sc1 0.0000 0.0000 0.5000  6 Se 2.72
Li1 0.8317 0.1683 0.0000  6 Se 2.75-2.77
Li2 0.1683 0.8317 0.0000  6 Se 2.75-2.77
Zr1 0.3338 0.6662 0.5000  6 Se 2.72-2.73
Zr2 0.6662 0.3338 0.5000  6 Se 2.72-2.73

formation energy from raw total energies	-1.43	eV per atom
density	4.8	Mg/m³
Fermi-level density of states	3.6	states/eV per cell
symmetry	C2/m, No. 12

***

No. 8
Compound: LiNdSmGe
Source: the Alexandria database
Functional: PBE
Structure: relaxed

a = 5.1661 Å, b = 5.1661 Å, c = 5.1661 Å
α = 60.00°, β = 60.00°, γ = 60.00°
With the nearest neighbours (Å) after each atom.
Sites, in units of the cell vectors:
Nd1 0.2500 0.2500 0.2500  4 Li 3.16, 4 Ge 3.16
Li1 0.5000 0.5000 0.5000  4 Nd 3.16, 4 Sm 3.16
Ge1 0.0000 0.0000 0.0000  4 Nd 3.16, 4 Sm 3.16
Sm1 0.7500 0.7500 0.7500  4 Ge 3.16, 4 Li 3.16

energy relative to the elements	-422	meV/atom
density	6.4	Mg/m³
Fermi-level density of states	2.6	states/eV per cell
symmetry	F-43m, No. 216

***

No. 9
Compound: Y6Tl5Hg
Source: the Alexandria database
Functional: PBE
Structure: relaxed

a = 5.3771 Å, b = 7.5058 Å, c = 8.5141 Å
α = 90.00°, β = 71.59°, γ = 90.00°
With the nearest neighbours (Å) after each atom.
Sites, in units of the cell vectors:
Y1 0.1654 0.2479 0.6692  1 Hg 3.26, 7 Tl 3.27-3.31
Y2 0.5000 0.2470 0.0000  6 Tl 3.25-3.30, 2 Hg 3.27
Y3 0.8346 0.7521 0.3308  1 Hg 3.26, 7 Tl 3.27-3.31
Y4 0.1654 0.7521 0.6692  1 Hg 3.26, 7 Tl 3.27-3.31
Y5 0.5000 0.7530 0.0000  6 Tl 3.25-3.30, 2 Hg 3.27
Y6 0.8346 0.2479 0.3308  1 Hg 3.26, 7 Tl 3.27-3.31
Tl1 0.6650 0.0000 0.6701  8 Y 3.25-3.31
Tl2 0.6672 0.5000 0.6655  8 Y 3.29-3.30
Tl3 0.0000 0.5000 0.0000  8 Y 3.27-3.29
Tl4 0.3328 0.5000 0.3345  8 Y 3.29-3.30
Tl5 0.3350 0.0000 0.3299  8 Y 3.25-3.31
Hg1 0.0000 0.0000 0.0000  8 Y 3.26-3.27

energy relative to the elements	-401	meV/atom
density	8.9	Mg/m³
Fermi-level density of states	10.6	states/eV per cell
symmetry	Cmmm, No. 65

***

No. 10
Compound: PmCoBi
Source: the Alexandria database
Functional: PBE
Structure: relaxed

a = 3.4376 Å, b = 3.4376 Å, c = 6.3889 Å
α = 105.61°, β = 105.61°, γ = 90.00°
With the nearest neighbours (Å) after each atom.
Sites, in units of the cell vectors:
Pm1 0.3097 0.3097 0.6193  4 Co 3.00, 1 Bi 3.30
Co1 0.6602 0.6602 0.3203  4 Bi 2.88, 4 Pm 3.00
Bi1 0.0302 0.0302 0.0604  4 Co 2.88

energy relative to the elements	-66	meV/atom
density	9.8	Mg/m³
energy above the most stable polymorph in this dataset	275	meV per atom
Fermi-level density of states	1.8	states/eV per cell
symmetry	I4mm, No. 107

***

No. 11
Compound: ErPRh2
Source: the Alexandria database
Functional: PBE
Structure: relaxed

a = 4.0516 Å, b = 7.9809 Å, c = 8.6005 Å
α = 90.00°, β = 90.00°, γ = 104.70°
With the nearest neighbours (Å) after each atom.
Sites, in units of the cell vectors:
Rh1 0.3004 0.6009 0.0784  3 P 2.37-2.51
Rh2 0.6996 0.3991 0.9216  3 P 2.37-2.51
Rh3 0.9384 0.8768 0.7500  2 P 2.34
Rh4 0.0616 0.1232 0.2500  2 P 2.34
Rh5 0.1133 0.2266 0.7500  2 P 2.35
Rh6 0.8867 0.7734 0.2500  2 P 2.35
Rh7 0.3004 0.6009 0.4216  3 P 2.37-2.51
Rh8 0.6996 0.3991 0.5784  3 P 2.37-2.51
P1 0.1414 0.2828 0.0182  5 Rh 2.34-2.51
P2 0.8586 0.7172 0.9818  5 Rh 2.34-2.51
P3 0.1414 0.2828 0.4818  5 Rh 2.34-2.51
P4 0.8586 0.7172 0.5182  5 Rh 2.34-2.51
Er1 0.5000 0.0000 0.5000  4 P 2.98, 6 Rh 3.10-3.15
Er2 0.3067 0.6133 0.7500  9 Rh 2.83-3.00, 4 P 2.95
Er3 0.6933 0.3867 0.2500  9 Rh 2.83-3.00, 4 P 2.95
Er4 0.5000 0.0000 0.0000  4 P 2.98, 6 Rh 3.10-3.15

energy relative to the elements	-988	meV/atom
density	10.0	Mg/m³
Fermi-level density of states	12.4	states/eV per cell
symmetry	Cmcm, No. 63

***

No. 12
Compound: Os2PdO
Source: the Alexandria database
Functional: PBE
Structure: relaxed

a = 4.3498 Å, b = 4.3498 Å, c = 7.4792 Å
α = 73.09°, β = 73.09°, γ = 90.00°
With the nearest neighbours (Å) after each atom.
Sites, in units of the cell vectors:
Pd1 0.0000 0.0000 0.0000  4 Os 2.60
Pd2 0.7500 0.2500 0.5000  4 Os 2.60
O1 0.5000 0.5000 0.0000  4 Os 2.09
O2 0.2500 0.7500 0.5000  4 Os 2.09
Os1 0.8750 0.7480 0.7500  2 O 2.09
Os2 0.2520 0.6250 0.2500  2 O 2.09
Os3 0.3750 0.5020 0.7500  2 O 2.09
Os4 0.4980 0.1250 0.2500  2 O 2.09

formation energy from raw total energies	0.80	eV per atom
density	12.9	Mg/m³
Fermi-level density of states	5.8	states/eV per cell
symmetry	I-42d, No. 122

***

No. 13
Compound: YCdAs3
Source: the Alexandria database
Functional: PBE
Structure: relaxed

a = 5.4139 Å, b = 5.4139 Å, c = 5.4139 Å
α = 90.00°, β = 90.00°, γ = 90.00°
With the nearest neighbours (Å) after each atom.
Sites, in units of the cell vectors:
As1 0.0000 0.5000 0.0000  2 Y 2.71
As2 0.0000 0.0000 0.5000  2 Y 2.71
As3 0.5000 0.0000 0.0000  2 Y 2.71
Y1 0.0000 0.0000 0.0000  6 As 2.71
Cd1 0.5000 0.5000 0.5000  12 As 3.83

energy relative to the elements	372	meV/atom
density	4.5	Mg/m³
energy above the most stable polymorph in this dataset	55	meV per atom
Fermi-level density of states	3.8	states/eV per cell
symmetry	Pm-3m, No. 221

***

No. 14
Compound: LiCu2Hg
Source: the Alexandria database
Functional: PBE
Structure: relaxed

a = 4.8138 Å, b = 4.8138 Å, c = 4.8138 Å
α = 133.22°, β = 132.88°, γ = 68.57°
With the nearest neighbours (Å) after each atom.
Sites, in units of the cell vectors:
Cu1 0.0005 0.0005 0.0000  4 Cu 2.71, 4 Li 2.76-2.77, 4 Hg 2.76
Cu2 0.4995 0.4995 0.0000  4 Cu 2.71, 4 Li 2.76-2.77, 4 Hg 2.76
Hg1 0.7500 0.2500 0.5000  4 Li 2.71, 8 Cu 2.76
Li1 0.2500 0.7500 0.5000  4 Hg 2.71, 8 Cu 2.76-2.77

energy relative to the elements	-47	meV/atom
density	9.5	Mg/m³
Fermi-level density of states	1.5	states/eV per cell
symmetry	Immm, No. 71

***

No. 15
Compound: HoTm2Cd2In2
Source: the Alexandria database
Functional: PBE
Structure: relaxed

a = 4.9281 Å, b = 4.9281 Å, c = 9.2273 Å
α = 74.51°, β = 74.51°, γ = 60.00°
With the nearest neighbours (Å) after each atom.
Sites, in units of the cell vectors:
In1 0.2579 0.2579 0.2262  3 Cd 2.86, 3 Tm 3.17
In2 0.7421 0.7421 0.7738  3 Cd 2.86, 3 Tm 3.17
Cd1 0.3964 0.3964 0.8107  3 In 2.86
Cd2 0.6036 0.6036 0.1893  3 In 2.86
Tm1 0.1284 0.1284 0.6149  4 In 3.17-3.41, 3 Cd 3.32, 1 Ho 3.38, 3 Tm 3.49
Tm2 0.8716 0.8716 0.3851  4 In 3.17-3.41, 3 Cd 3.32, 1 Ho 3.38, 3 Tm 3.49
Ho1 0.0000 0.0000 0.0000  6 Cd 3.29, 2 Tm 3.38, 6 In 3.47

energy relative to the elements	-219	meV/atom
density	8.6	Mg/m³
Fermi-level density of states	4.0	states/eV per cell
symmetry	R-3m, No. 166

***

No. 16
Compound: AcTlBiIr
Source: the Alexandria database
Functional: PBE
Structure: relaxed

a = 5.3248 Å, b = 5.3248 Å, c = 5.3248 Å
α = 60.00°, β = 60.00°, γ = 60.00°
With the nearest neighbours (Å) after each atom.
Sites, in units of the cell vectors:
Ac1 0.7500 0.7500 0.7500  4 Tl 3.26, 4 Ir 3.26
Tl1 0.5000 0.5000 0.5000  4 Bi 3.26, 4 Ac 3.26
Ir1 0.0000 0.0000 0.0000  4 Ac 3.26, 4 Bi 3.26
Bi1 0.2500 0.2500 0.2500  4 Tl 3.26, 4 Ir 3.26

energy relative to the elements	-114	meV/atom
density	13.0	Mg/m³
Fermi-level density of states	1.5	states/eV per cell
symmetry	F-43m, No. 216

***

No. 17
Compound: KHgC3
Source: the Alexandria database
Functional: PBE
Structure: relaxed

a = 4.6024 Å, b = 4.6024 Å, c = 4.6024 Å
α = 90.00°, β = 90.00°, γ = 90.00°
With the nearest neighbours (Å) after each atom.
Sites, in units of the cell vectors:
Hg1 0.0000 0.0000 0.0000  6 C 2.30
C1 0.0000 0.5000 0.0000  2 Hg 2.30
C2 0.5000 0.0000 0.0000  2 Hg 2.30
C3 0.0000 0.0000 0.5000  2 Hg 2.30
K1 0.5000 0.5000 0.5000  12 C 3.25

energy relative to the elements	3075	meV/atom
density	4.7	Mg/m³
energy above the most stable polymorph in this dataset	0	meV per atom
Fermi-level density of states	3.8	states/eV per cell
symmetry	Pm-3m, No. 221

***

No. 18
Compound: NbZnPt
Source: the Alexandria database
Functional: PBE
Structure: relaxed

a = 7.7532 Å, b = 2.8039 Å, c = 10.5877 Å
α = 90.00°, β = 123.12°, γ = 90.00°
With the nearest neighbours (Å) after each atom.
Sites, in units of the cell vectors:
Nb1 0.9000 0.5000 0.0404  2 Nb 2.80, 5 Pt 2.81-2.86, 4 Zn 2.88-3.07
Nb2 0.9000 0.0000 0.5404  2 Nb 2.80, 5 Pt 2.81-2.86, 4 Zn 2.88-3.07
Nb3 0.2483 0.0000 0.3419  5 Zn 2.77-2.95, 4 Pt 2.79-2.83, 2 Nb 2.80
Nb4 0.2483 0.5000 0.8419  5 Zn 2.77-2.95, 4 Pt 2.79-2.83, 2 Nb 2.80
Pt1 0.5483 0.5000 0.3210  5 Zn 2.70-2.94, 3 Pt 2.80-2.91, 4 Nb 2.81-2.83
Pt2 0.5483 0.0000 0.8210  5 Zn 2.70-2.94, 3 Pt 2.80-2.91, 4 Nb 2.81-2.83
Pt3 0.9167 0.5000 0.3121  3 Zn 2.61-2.66, 5 Nb 2.79-2.86, 3 Pt 2.80-2.91
Pt4 0.9167 0.0000 0.8121  3 Zn 2.61-2.66, 5 Nb 2.79-2.86, 3 Pt 2.80-2.91
Zn1 0.2524 0.0000 0.0824  3 Zn 2.59-2.80, 3 Pt 2.61-2.70, 5 Nb 2.77-2.89
Zn2 0.2524 0.5000 0.5824  3 Zn 2.59-2.80, 3 Pt 2.61-2.70, 5 Nb 2.77-2.89
Zn3 0.5986 0.0000 0.0992  3 Zn 2.59-2.80, 3 Pt 2.66-2.75
Zn4 0.5986 0.5000 0.5992  3 Zn 2.59-2.80, 3 Pt 2.66-2.75

energy relative to the elements	-391	meV/atom
density	12.2	Mg/m³
Fermi-level density of states	7.3	states/eV per cell
symmetry	Cm, No. 8

***

No. 19
Compound: Ta2NbAl
Source: the Alexandria database
Functional: PBE
Structure: relaxed

a = 3.5763 Å, b = 4.4339 Å, c = 4.4339 Å
α = 90.00°, β = 90.00°, γ = 90.00°
With the nearest neighbours (Å) after each atom.
Sites, in units of the cell vectors:
Ta1 0.0000 0.0000 0.5000  4 Al 2.85, 4 Nb 2.85, 4 Ta 3.14
Ta2 0.0000 0.5000 0.0000  4 Nb 2.85, 4 Al 2.85, 4 Ta 3.14
Al1 0.5000 0.5000 0.5000  8 Ta 2.85, 4 Nb 3.14
Nb1 0.5000 0.0000 0.0000  8 Ta 2.85, 4 Al 3.14

energy relative to the elements	-152	meV/atom
density	11.4	Mg/m³
Fermi-level density of states	1.8	states/eV per cell
symmetry	P4/mmm, No. 123

***

No. 20
Compound: CeEuTmTh
Source: the Alexandria database
Functional: PBE
Structure: relaxed

a = 5.7140 Å, b = 5.7140 Å, c = 5.7140 Å
α = 60.00°, β = 60.00°, γ = 60.00°
With the nearest neighbours (Å) after each atom.
Sites, in units of the cell vectors:
Ce1 0.0000 0.0000 0.0000  4 Tm 3.50, 4 Th 3.50
Tm1 0.7500 0.7500 0.7500  4 Eu 3.50, 4 Ce 3.50
Th1 0.2500 0.2500 0.2500  4 Eu 3.50, 4 Ce 3.50
Eu1 0.5000 0.5000 0.5000  4 Th 3.50, 4 Tm 3.50

energy relative to the elements	296	meV/atom
density	8.7	Mg/m³
Fermi-level density of states	9.1	states/eV per cell
symmetry	F-43m, No. 216